# 1
PBE Ac2HoAuSe5, optimized geometry; space group = Cmc2_1, No. 36; magnetic moment = 0.00 Bohr magnetons per cell; calculated total energy = -48.338 eV per formula unit; mass density = 8176 kg/m3; DOS(E_F) = 0.4 states/eV per cell
1.0
4.265 0.000 0.000
-2.132 9.061 0.000
0.000 0.000 12.726
Ac Ho Au Se
4 2 2 10
Direct
0.877 0.754 0.814
0.116 0.233 0.689
0.123 0.246 0.314
0.884 0.767 0.189
0.810 0.621 0.510
0.190 0.379 0.010
0.557 0.114 0.953
0.443 0.886 0.453
0.351 0.702 0.004
0.698 0.395 0.852
0.499 0.999 0.768
0.293 0.586 0.665
0.958 0.915 0.568
0.649 0.298 0.504
0.302 0.605 0.352
0.501 0.001 0.268
0.707 0.414 0.165
0.042 0.085 0.068

# 2
PBE CsNa2TeO4, optimized geometry; space group = C2/c, No. 15; magnetic moment = 1.48 Bohr magnetons per cell; calculated total energy = -35.299 eV per formula unit; mass density = 4178 kg/m3; DOS(E_F) = 4.6 states/eV per cell
1.0
7.220 0.908 -0.235
0.903 7.220 -0.235
-4.207 -4.210 5.983
Cs Na Te O
2 4 2 8
Direct
0.000 0.500 0.000
0.000 0.500 0.500
0.500 0.000 0.000
0.500 0.000 0.500
0.000 0.000 0.500
0.500 0.500 0.000
0.500 0.500 0.500
0.000 0.000 0.000
0.260 0.830 0.046
0.670 0.240 0.454
0.330 0.760 0.546
0.740 0.170 0.954
0.999 0.000 0.230
0.500 0.501 0.270
0.500 0.499 0.730
0.001 0.000 0.770

Q: Look up the magnetic moment of the second one.
A: 1.48 Bohr magnetons per cell

What did the second record say?
PBE CsNa2TeO4, optimized geometry; space group = C2/c, No. 15; magnetic moment = 1.48 Bohr magnetons per cell; calculated total energy = -35.299 eV per formula unit; mass density = 4178 kg/m3; DOS(E_F) = 4.6 states/eV per cell
1.0
7.220 0.908 -0.235
0.903 7.220 -0.235
-4.207 -4.210 5.983
Cs Na Te O
2 4 2 8
Direct
0.000 0.500 0.000
0.000 0.500 0.500
0.500 0.000 0.000
0.500 0.000 0.500
0.000 0.000 0.500
0.500 0.500 0.000
0.500 0.500 0.500
0.000 0.000 0.000
0.260 0.830 0.046
0.670 0.240 0.454
0.330 0.760 0.546
0.740 0.170 0.954
0.999 0.000 0.230
0.500 0.501 0.270
0.500 0.499 0.730
0.001 0.000 0.770

Q: Look up the mass density of the first one.
A: 8176 kg/m3